8
Lattice="6.7640 0.0000 0.0000 0.0000 6.7640 0.0000 3.3820 3.3820 2.6113" Properties=species:S:1:pos:R:3 comment="Cu2PdRu (PBE, relaxed)" crystal_system=tetragonal m_tot_mub_per_fu=1.828 formation_enthalpy_0k_ev_per_atom=0.6464 polymorph_energy_ev_per_atom=0.524 pbc="T T T"
Ru 3.3820 3.3820 0.0000
Ru 3.3820 6.7640 1.3057
Cu 5.0482 1.6910 0.6528
Cu 1.7159 5.0730 0.6528
Cu 5.0730 5.0979 1.9585
Cu 8.4550 8.4302 1.9585
Pd 0.0000 0.0000 0.0000
Pd 6.7640 3.3820 1.3057